No. 1
Nd3Ga5Te12 (GGA-PBE, relaxed); density = 5.85 Mg/m³; raw total energy = -4.022 eV per atom; raw formation energy = -0.665 eV per atom; DOS(E_F) = 22.323 states/eV/cell
1.0
-8.692 8.692 8.692
8.692 -8.692 8.692
8.692 8.692 -8.692
Nd Ga Te
12 20 48
Direct
0.125 0.250 0.375 Nd
0.125 0.375 0.750 Nd
0.250 0.375 0.125 Nd
0.250 0.875 0.625 Nd
0.375 0.125 0.250 Nd
0.375 0.750 0.125 Nd
0.625 0.250 0.875 Nd
0.625 0.875 0.750 Nd
0.750 0.125 0.375 Nd
0.750 0.625 0.875 Nd
0.875 0.625 0.250 Nd
0.875 0.750 0.625 Nd
0.000 0.000 0.000 Ga
0.000 0.000 0.500 Ga
0.000 0.500 0.000 Ga
0.000 0.500 0.500 Ga
0.125 0.750 0.875 Ga
0.125 0.875 0.250 Ga
0.250 0.125 0.875 Ga
0.250 0.625 0.375 Ga
0.375 0.250 0.625 Ga
0.375 0.625 0.750 Ga
0.500 0.000 0.000 Ga
0.500 0.000 0.500 Ga
0.500 0.500 0.000 Ga
0.500 0.500 0.500 Ga
0.625 0.375 0.250 Ga
0.625 0.750 0.375 Ga
0.750 0.375 0.625 Ga
0.750 0.875 0.125 Ga
0.875 0.125 0.750 Ga
0.875 0.250 0.125 Ga
0.034 0.210 0.124 Te
0.034 0.324 0.910 Te
0.086 0.710 0.676 Te
0.086 0.876 0.410 Te
0.090 0.624 0.414 Te
0.090 0.966 0.676 Te
0.124 0.034 0.210 Te
0.124 0.590 0.914 Te
0.176 0.210 0.586 Te
0.176 0.466 0.590 Te
0.210 0.124 0.034 Te
0.210 0.586 0.176 Te
0.290 0.324 0.914 Te
0.290 0.466 0.376 Te
0.324 0.910 0.034 Te
0.324 0.914 0.290 Te
0.376 0.290 0.466 Te
0.376 0.586 0.910 Te
0.410 0.086 0.876 Te
0.410 0.824 0.534 Te
0.414 0.090 0.624 Te
0.414 0.824 0.790 Te
0.466 0.376 0.290 Te
0.466 0.590 0.176 Te
0.534 0.410 0.824 Te
0.534 0.624 0.710 Te
0.586 0.176 0.210 Te
0.586 0.910 0.376 Te
0.590 0.176 0.466 Te
0.590 0.914 0.124 Te
0.624 0.414 0.090 Te
0.624 0.710 0.534 Te
0.676 0.086 0.710 Te
0.676 0.090 0.966 Te
0.710 0.534 0.624 Te
0.710 0.676 0.086 Te
0.790 0.414 0.824 Te
0.790 0.876 0.966 Te
0.824 0.534 0.410 Te
0.824 0.790 0.414 Te
0.876 0.410 0.086 Te
0.876 0.966 0.790 Te
0.910 0.034 0.324 Te
0.910 0.376 0.586 Te
0.914 0.124 0.590 Te
0.914 0.290 0.324 Te
0.966 0.676 0.090 Te
0.966 0.790 0.876 Te

---

No. 2
Nd2GaTe (GGA-PBE, relaxed); density = 6.62 Mg/m³; raw total energy = -4.903 eV per atom; raw formation energy = -0.977 eV per atom; DOS(E_F) = 2.106 states/eV/cell
1.0
2.128 1.228 7.765
-2.128 1.228 7.765
0.000 -2.457 7.765
Nd Ga Te
2 1 1
Direct
0.246 0.246 0.246 Nd
0.754 0.754 0.754 Nd
0.500 0.500 0.500 Ga
0.000 0.000 0.000 Te

---

No. 3
Nd3GaTe4 (GGA-PBE, relaxed); density = 5.34 Mg/m³; raw total energy = -4.750 eV per atom; raw formation energy = -1.013 eV per atom; DOS(E_F) = 7.625 states/eV/cell
1.0
10.476 0.000 0.000
0.000 9.532 0.000
0.000 0.000 6.307
Nd Ga Te
6 2 8
Direct
0.000 0.179 0.000 Nd
0.247 0.336 0.500 Nd
0.253 0.664 0.000 Nd
0.500 0.821 0.500 Nd
0.747 0.664 0.000 Nd
0.753 0.336 0.500 Nd
0.000 0.837 0.496 Ga
0.500 0.163 0.996 Ga
0.000 0.158 0.500 Te
0.000 0.845 0.998 Te
0.240 0.663 0.500 Te
0.260 0.337 0.000 Te
0.500 0.155 0.498 Te
0.500 0.842 0.000 Te
0.740 0.337 0.000 Te
0.760 0.663 0.500 Te

---

No. 4
Nd7Ga2Te2 (GGA-PBE, relaxed); density = 6.89 Mg/m³; raw total energy = -4.829 eV per atom; raw formation energy = -0.673 eV per atom; DOS(E_F) = 12.092 states/eV/cell
1.0
-2.218 7.358 5.187
2.218 -7.358 5.187
2.218 7.358 -5.187
Nd Ga Te
7 2 2
Direct
0.000 0.000 0.000 Nd
0.276 0.391 0.885 Nd
0.322 0.631 0.690 Nd
0.505 0.391 0.115 Nd
0.605 0.228 0.377 Nd
0.850 0.228 0.623 Nd
0.941 0.631 0.310 Nd
0.232 0.732 0.500 Ga
0.640 0.640 0.000 Ga
0.139 0.917 0.221 Te
0.696 0.917 0.779 Te

---

No. 5
Nd5GaTe4 (GGA-PBE, relaxed); density = 6.81 Mg/m³; raw total energy = -5.244 eV per atom; raw formation energy = -1.300 eV per atom; DOS(E_F) = 3.927 states/eV/cell
1.0
-5.010 5.010 3.160
5.010 -5.010 3.160
5.010 5.010 -3.160
Nd Ga Te
5 1 4
Direct
0.000 0.000 0.000 Nd
0.217 0.404 0.621 Nd
0.404 0.783 0.187 Nd
0.596 0.217 0.813 Nd
0.783 0.596 0.379 Nd
0.500 0.500 0.000 Ga
0.094 0.697 0.791 Te
0.303 0.094 0.397 Te
0.697 0.906 0.603 Te
0.906 0.303 0.209 Te

---

No. 6
Nd4GaTe2 (GGA-PBE, relaxed); density = 7.21 Mg/m³; raw total energy = -5.048 eV per atom; raw formation energy = -0.993 eV per atom; DOS(E_F) = 14.523 states/eV/cell
1.0
-4.662 4.662 4.775
4.662 -4.662 4.775
4.662 4.662 -4.775
Nd Ga Te
8 2 4
Direct
0.111 0.230 0.744 Nd
0.117 0.736 0.756 Nd
0.264 0.020 0.381 Nd
0.486 0.367 0.256 Nd
0.633 0.889 0.119 Nd
0.639 0.883 0.619 Nd
0.770 0.514 0.881 Nd
0.980 0.361 0.244 Nd
0.000 0.000 0.000 Ga
0.750 0.250 0.500 Ga
0.255 0.625 0.130 Te
0.375 0.505 0.630 Te
0.495 0.125 0.870 Te
0.875 0.745 0.370 Te

---

No. 7
NdGaTe3 (GGA-PBE, relaxed); density = 5.10 Mg/m³; raw total energy = -4.166 eV per atom; raw formation energy = -0.722 eV per atom; DOS(E_F) = 0.047 states/eV/cell
1.0
8.609 0.000 0.000
0.000 12.140 0.000
0.000 0.000 7.434
Nd Ga Te
4 4 12
Direct
0.000 0.000 0.000 Nd
0.000 0.500 0.000 Nd
0.500 0.000 0.500 Nd
0.500 0.500 0.500 Nd
0.161 0.250 0.455 Ga
0.339 0.750 0.955 Ga
0.661 0.250 0.045 Ga
0.839 0.750 0.545 Ga
0.010 0.750 0.850 Te
0.175 0.070 0.646 Te
0.175 0.430 0.646 Te
0.325 0.570 0.146 Te
0.325 0.930 0.146 Te
0.490 0.250 0.350 Te
0.510 0.750 0.650 Te
0.675 0.070 0.854 Te
0.675 0.430 0.854 Te
0.825 0.570 0.354 Te
0.825 0.930 0.354 Te
0.990 0.250 0.150 Te

---

No. 8
Nd2GaTe (GGA-PBE, relaxed); density = 6.85 Mg/m³; raw total energy = -4.958 eV per atom; raw formation energy = -1.032 eV per atom; DOS(E_F) = 6.495 states/eV/cell
1.0
2.272 -12.036 0.000
2.272 12.036 0.000
0.000 0.000 4.310
Nd Ga Te
4 2 2
Direct
0.062 0.938 0.750 Nd
0.330 0.670 0.750 Nd
0.670 0.330 0.250 Nd
0.938 0.062 0.250 Nd
0.463 0.537 0.750 Ga
0.537 0.463 0.250 Ga
0.194 0.806 0.750 Te
0.806 0.194 0.250 Te

---

> What is the raw total energy in the eighth record?

-4.958 eV per atom